# 1
Below is LiAl2Ge at its PBEsol-relaxed geometry, with properties calculated at the SCAN level.

abc: 4.5664 4.5664 4.5664
angles: 60.00 60.00 60.00
Closest atoms and distances in Å follow each position.
Positions (direct):
Ge: 0.5000 0.5000 0.5000  8 Al 2.80
Al: 0.2500 0.2500 0.2500  4 Ge 2.80, 4 Li 2.80
Al: 0.7500 0.7500 0.7500  4 Ge 2.80, 4 Li 2.80
Li: 0.0000 0.0000 0.0000  8 Al 2.80

Output
The formation energy from the elements is 0.064 eV/atom. The total magnetic moment comes out at 0.00 μB/atom. The total DFT energy (no corrections) is -9.1810 eV/atom. Its space group is No. 225. As for the density of states at the Fermi level: 1.36 states/eV per cell.

***

# 2
Below is LuAl2Ge2 at its PBEsol-relaxed geometry, with properties calculated at the SCAN level.

abc: 4.2182 4.2182 6.3735
angles: 90.00 90.00 120.00
Closest atoms and distances in Å follow each position.
Positions (direct):
Ge: 0.3333 0.6667 0.2490  4 Al 2.52-2.55
Ge: 0.6667 0.3333 0.7510  4 Al 2.52-2.55
Lu: 0.0000 0.0000 0.0000  6 Ge 2.91
Al: 0.3333 0.6667 0.6498  4 Ge 2.52-2.55
Al: 0.6667 0.3333 0.3502  4 Ge 2.52-2.55

Output
The formation energy from the elements is -0.400 eV/atom. The total magnetic moment comes out at 0.00 μB/atom. The total DFT energy (no corrections) is -22.2050 eV/atom. Its space group is No. 164. As for the density of states at the Fermi level: 1.64 states/eV per cell.

***

# 3
Below is AlGe3Mo at its PBEsol-relaxed geometry, with properties calculated at the SCAN level.

abc: 4.8415 4.8415 4.8415
angles: 90.00 90.00 90.00
Closest atoms and distances in Å follow each position.
Positions (direct):
Mo: 0.0000 0.0000 0.0000  6 Ge 2.42
Ge: 0.0000 0.5000 0.0000  2 Mo 2.42
Ge: 0.0000 0.0000 0.5000  2 Mo 2.42
Ge: 0.5000 0.0000 0.0000  2 Mo 2.42
Al: 0.5000 0.5000 0.5000  12 Ge 3.42

Output
The formation energy from the elements is 0.560 eV/atom. The total magnetic moment comes out at 0.00 μB/atom. The total DFT energy (no corrections) is -19.4205 eV/atom. Its space group is No. 221. As for the density of states at the Fermi level: 2.26 states/eV per cell.

***

Number 2 is which compound? LuAl2Ge2